Compound: TcHgBPb2
Source: the Alexandria database
Functional: PBE-GGA
Structure: optimized geometry

Calculated values
Its crystal system is tetragonal. The symmetry is No. 123. As for the density of states at the Fermi level: 0.55 states/eV/atom. For the formation energy, the calculation gives 0.730 eV per atom.

a = 5.2528 Å, b = 5.2528 Å, c = 4.1219 Å
α = 90.00°, β = 90.00°, γ = 90.00°
Closest atoms and distances in Å follow each position.
Fractional coordinates of all 5 atoms:
Tc 0.0000 0.0000 0.0000  2 B 2.06
Hg 0.5000 0.5000 0.0000  8 Pb 3.34, 4 Tc 3.71
B 0.0000 0.0000 0.5000  2 Tc 2.06
Pb 0.0000 0.5000 0.5000  2 B 2.63
Pb 0.5000 0.0000 0.5000  2 B 2.63


Compound: BeSb2SeCl
Source: the Alexandria database
Functional: PBE-GGA
Structure: optimized geometry

Calculated values
Its crystal system is tetragonal. Its formation energy from raw total energies is 1.235 eV/atom. The symmetry is No. 123. As for the density of states at the Fermi level: 0.99 states/eV/atom.

a = 5.2937 Å, b = 5.2937 Å, c = 4.9885 Å
α = 90.00°, β = 90.00°, γ = 90.00°
Closest atoms and distances in Å follow each position.
Fractional coordinates of all 5 atoms:
Be 0.0000 0.0000 0.0000  8 Sb 3.64, 4 Se 3.74
Sb 0.0000 0.5000 0.5000  2 Cl 2.65
Sb 0.5000 0.0000 0.5000  2 Cl 2.65
Se 0.5000 0.5000 0.0000  2 Cl 2.49
Cl 0.5000 0.5000 0.5000  2 Se 2.49, 4 Sb 2.65


Compound: LaCe2SmSe4
Source: the Alexandria database
Functional: PBE-GGA
Structure: optimized geometry

Calculated values
Its crystal system is monoclinic. Its formation energy from raw total energies is -1.864 eV/atom. The symmetry is No. 10. As for the density of states at the Fermi level: 1.68 states/eV/atom.

a = 7.3127 Å, b = 4.2077 Å, c = 7.3510 Å
α = 90.00°, β = 109.24°, γ = 90.00°
Closest atoms and distances in Å follow each position.
Fractional coordinates of all 8 atoms:
La 0.0000 0.0000 0.0000  6 Se 3.02
Ce 0.0000 0.5000 0.5000  6 Se 3.00-3.01
Ce 0.5000 0.0000 0.5000  6 Se 2.96
Sm 0.5000 0.5000 0.0000  6 Se 2.97
Se 0.2548 0.0000 0.7501  3 Ce 2.96-3.00, 2 Sm 2.97, 1 La 3.02
Se 0.2560 0.5000 0.2533  3 Ce 2.96-3.01, 1 Sm 2.97, 2 La 3.02
Se 0.7440 0.5000 0.7467  3 Ce 2.96-3.01, 1 Sm 2.97, 2 La 3.02
Se 0.7452 0.0000 0.2499  3 Ce 2.96-3.00, 2 Sm 2.97, 1 La 3.02


Compound: ErSc2Se
Source: the Alexandria database
Functional: PBE-GGA
Structure: optimized geometry

Calculated values
Its crystal system is orthorhombic. Its formation energy from raw total energies is -0.655 eV/atom. The symmetry is No. 44. As for the density of states at the Fermi level: 0.95 states/eV/atom. For the energy above the most stable polymorph in this dataset, the calculation gives 0.146 eV per atom.

a = 6.1096 Å, b = 6.1096 Å, c = 6.1096 Å
α = 146.33°, β = 65.31°, γ = 125.83°
Closest atoms and distances in Å follow each position.
Fractional coordinates of all 4 atoms:
Er 0.0000 0.0000 0.0000  2 Se 2.76-2.80
Sc 0.2018 0.8900 0.3118  2 Se 2.70
Sc 0.5782 0.8900 0.6882  2 Se 2.70
Se 0.5035 0.5035 0.0000  4 Sc 2.70, 2 Er 2.76-2.80


Compound: Hf2GeS2
Source: the Alexandria database
Functional: PBE-GGA
Structure: optimized geometry

Calculated values
Its crystal system is tetragonal. Its formation energy from raw total energies is -0.937 eV/atom. The symmetry is No. 127. As for the density of states at the Fermi level: 0.30 states/eV/atom.

a = 7.3443 Å, b = 7.3443 Å, c = 3.2758 Å
α = 90.00°, β = 90.00°, γ = 90.00°
Closest atoms and distances in Å follow each position.
Fractional coordinates of all 10 atoms:
Hf 0.1534 0.3466 0.0000  6 S 2.68-2.75, 2 Ge 2.78
Hf 0.3466 0.8466 0.0000  6 S 2.68-2.75, 2 Ge 2.78
Hf 0.6534 0.1534 0.0000  6 S 2.68-2.75, 2 Ge 2.78
Hf 0.8466 0.6534 0.0000  6 S 2.68-2.75, 2 Ge 2.78
Ge 0.0000 0.0000 0.0000  4 Hf 2.78
Ge 0.5000 0.5000 0.0000  4 Hf 2.78
S 0.1344 0.6344 0.5000  6 Hf 2.68-2.75, 1 S 2.79
S 0.3656 0.1344 0.5000  6 Hf 2.68-2.75, 1 S 2.79
S 0.6344 0.8656 0.5000  6 Hf 2.68-2.75, 1 S 2.79
S 0.8656 0.3656 0.5000  6 Hf 2.68-2.75, 1 S 2.79


Compound: Tl2BiSbO8
Source: the Alexandria database
Functional: PBE-GGA
Structure: optimized geometry

Calculated values
Its crystal system is monoclinic. Its formation energy from raw total energies is -0.879 eV/atom. The symmetry is No. 10. As for the density of states at the Fermi level: 0.44 states/eV/atom.

a = 5.0612 Å, b = 6.6947 Å, c = 5.1075 Å
α = 90.00°, β = 92.95°, γ = 90.00°
Closest atoms and distances in Å follow each position.
Fractional coordinates of all 12 atoms:
Tl 0.0000 0.2440 0.0000  6 O 2.22-2.37
Tl 0.0000 0.7560 0.0000  6 O 2.22-2.37
Bi 0.5000 0.5000 0.5000  6 O 2.11-2.21
Sb 0.5000 0.0000 0.5000  6 O 2.01-2.06
O 0.2166 0.5000 0.1833  1 Bi 2.11, 2 Tl 2.22
O 0.2287 0.0000 0.1993  1 Sb 2.01, 2 Tl 2.22
O 0.3076 0.2360 0.6656  1 Sb 2.06, 1 Bi 2.21
O 0.3076 0.7640 0.6656  1 Sb 2.06, 1 Bi 2.21
O 0.6924 0.2360 0.3344  1 Sb 2.06, 1 Bi 2.21
O 0.6924 0.7640 0.3344  1 Sb 2.06, 1 Bi 2.21
O 0.7713 0.0000 0.8007  1 Sb 2.01, 2 Tl 2.22
O 0.7834 0.5000 0.8167  1 Bi 2.11, 2 Tl 2.22


Compound: LaAlIn
Source: the Alexandria database
Functional: PBE-GGA
Structure: optimized geometry

Calculated values
Its crystal system is trigonal. The symmetry is No. 156. As for the density of states at the Fermi level: 0.96 states/eV/atom. For the formation energy, the calculation gives -0.035 eV per atom.

a = 3.3669 Å, b = 3.3669 Å, c = 8.0099 Å
α = 90.00°, β = 90.00°, γ = 120.00°
Closest atoms and distances in Å follow each position.
Fractional coordinates of all 3 atoms:
La 0.0000 0.0000 0.0000  3 Al 3.33, 6 La 3.37, 3 In 3.52
Al 0.3333 0.6667 0.3382  3 In 3.06, 3 La 3.33, 6 Al 3.37
In 0.6667 0.3333 0.6338  3 Al 3.06, 6 In 3.37


Compound: MnCrGe2
Source: the Alexandria database
Functional: PBE-GGA
Structure: optimized geometry

Calculated values
Its crystal system is trigonal. The symmetry is No. 160. As for the density of states at the Fermi level: 0.79 states/eV/atom. For the energy above the most stable polymorph in this dataset, the calculation gives 0.003 eV per atom. For the formation energy, the calculation gives 0.124 eV per atom.

a = 7.9116 Å, b = 7.9116 Å, c = 7.9116 Å
α = 21.04°, β = 21.04°, γ = 21.04°
Closest atoms and distances in Å follow each position.
Fractional coordinates of all 4 atoms:
Mn 0.0000 0.0000 0.0000  6 Ge 2.54-2.58
Cr 0.8351 0.8351 0.8351  6 Ge 2.54-2.56
Ge 0.2509 0.2509 0.2509  3 Mn 2.54, 3 Cr 2.54
Ge 0.4180 0.4180 0.4180  3 Cr 2.56, 3 Mn 2.58


Compound: Ba2SmIn
Source: the Alexandria database
Functional: PBE-GGA
Structure: optimized geometry

Calculated values
Its crystal system is trigonal. The symmetry is No. 166. As for the density of states at the Fermi level: 1.38 states/eV/atom. For the formation energy, the calculation gives 0.186 eV per atom.

a = 13.1818 Å, b = 13.1818 Å, c = 13.1818 Å
α = 17.04°, β = 17.04°, γ = 17.04°
Closest atoms and distances in Å follow each position.
Fractional coordinates of all 4 atoms:
Ba 0.0954 0.0954 0.0954  3 In 3.58, 1 Sm 3.72, 6 Ba 3.90
Ba 0.9046 0.9046 0.9046  3 In 3.58, 1 Sm 3.72, 6 Ba 3.90
Sm 0.0000 0.0000 0.0000  2 Ba 3.72, 6 Sm 3.90
In 0.5000 0.5000 0.5000  6 Ba 3.58, 6 In 3.90


Compound: Y6Sn3H
Source: the Alexandria database
Functional: PBE-GGA
Structure: optimized geometry

Calculated values
Its crystal system is orthorhombic. The symmetry is No. 36. As for the density of states at the Fermi level: 0.87 states/eV/atom. The total DFT energy (no corrections) is -5.927 eV per atom.

a = 9.3043 Å, b = 9.3043 Å, c = 6.2482 Å
α = 90.00°, β = 90.00°, γ = 99.76°
Closest atoms and distances in Å follow each position.
Fractional coordinates of all 20 atoms:
Y 0.0926 0.9074 0.5000  1 H 2.29
Y 0.1114 0.5355 0.7087  1 H 2.35
Y 0.2303 0.3289 0.1375  4 Sn 3.11-3.20, 3 Y 3.42-3.45
Y 0.3005 0.6995 0.2303  1 H 2.23
Y 0.3289 0.2303 0.6375  4 Sn 3.11-3.20, 3 Y 3.42-3.45
Y 0.4645 0.8886 0.7087  1 H 2.35
Y 0.5355 0.1114 0.2087  1 H 2.35
Y 0.6711 0.7697 0.1375  4 Sn 3.11-3.20, 3 Y 3.42-3.45
Y 0.6995 0.3005 0.7303  1 H 2.23
Y 0.7697 0.6711 0.6375  4 Sn 3.11-3.20, 3 Y 3.42-3.45
Y 0.8886 0.4645 0.2087  1 H 2.35
Y 0.9074 0.0926 0.0000  1 H 2.29
Sn 0.0061 0.2345 0.5007  1 Sn 2.89, 4 Y 3.09-3.15
Sn 0.2345 0.0061 0.0007  1 Sn 2.89, 4 Y 3.09-3.15
Sn 0.4654 0.5346 0.8517  8 Y 3.19-3.42, 2 Sn 3.28, 1 H 3.53
Sn 0.5346 0.4654 0.3517  8 Y 3.19-3.42, 2 Sn 3.28, 1 H 3.53
Sn 0.7655 0.9939 0.5007  1 Sn 2.89, 4 Y 3.09-3.15
Sn 0.9939 0.7655 0.0007  1 Sn 2.89, 4 Y 3.09-3.15
H 0.2508 0.7492 0.5680  4 Y 2.23-2.35
H 0.7492 0.2508 0.0680  4 Y 2.23-2.35


- Number 4 is which compound?
  ErSc2Se